Ba2SrOs2: optimized geometry, PBE.

extended XYZ file:
```
10
Lattice="4.991 0.000 0.000 0.000 4.991 0.000 0.000 0.000 12.944" Properties=species:S:1:pos:R:3 pbc="T T T"
Ba 0.000 2.496 3.236
Ba 0.000 2.496 9.708
Ba 2.496 0.000 3.236
Ba 2.496 0.000 9.708
Sr 0.000 0.000 0.000
Sr 2.496 2.496 6.472
Os 0.000 0.000 5.310
Os 0.000 0.000 7.634
Os 2.496 2.496 1.162
Os 2.496 2.496 11.782
```

Total magnetization (μB per formula unit): 1.50
Space-group type: I4/mmm
ΔE_f (eV per atom): 0.88
Distance to the lowest polymorph of the same formula (meV/atom): 199.1

---

BaSr2Os: optimized geometry, PBE.

extended XYZ file:
```
8
Lattice="5.309 0.000 0.000 0.000 5.309 0.000 0.000 0.000 8.919" Properties=species:S:1:pos:R:3 pbc="T T T"
Ba 0.000 0.000 0.000
Ba 2.654 2.654 4.459
Sr 0.000 2.654 2.230
Sr 0.000 2.654 6.689
Sr 2.654 0.000 2.230
Sr 2.654 0.000 6.689
Os 0.000 0.000 4.459
Os 2.654 2.654 0.000
```

Total magnetization (μB per formula unit): 0.00
Space-group type: I4/mmm
ΔE_f (eV per atom): 0.72
Distance to the lowest polymorph of the same formula (meV/atom): 211.6

---

BaSr2Os: optimized geometry, PBE.

extended XYZ file:
```
8
Lattice="3.769 0.000 0.000 0.000 5.734 0.000 0.000 0.000 14.555" Properties=species:S:1:pos:R:3 pbc="T T T"
Ba 0.000 0.000 0.000
Ba 1.884 2.867 7.278
Sr 0.000 2.867 2.380
Sr 0.000 2.867 12.175
Sr 1.884 0.000 4.897
Sr 1.884 0.000 9.658
Os 0.000 0.000 7.278
Os 1.884 2.867 0.000
```

Total magnetization (μB per formula unit): 0.00
Space-group type: Immm
ΔE_f (eV per atom): 0.54
Distance to the lowest polymorph of the same formula (meV/atom): 25.9

---

BaSr2Os: optimized geometry, PBE.

extended XYZ file:
```
4
Lattice="3.731 0.000 0.000 0.000 3.731 0.000 0.000 0.000 10.904" Properties=species:S:1:pos:R:3 pbc="T T T"
Ba 0.000 0.000 0.000
Sr 1.865 1.865 3.713
Sr 1.865 1.865 7.191
Os 0.000 0.000 5.452
```

Total magnetization (μB per formula unit): 0.91
Space-group type: P4/mmm
ΔE_f (eV per atom): 0.57
Distance to the lowest polymorph of the same formula (meV/atom): 59.1

---

BaSr2Os: optimized geometry, PBE.

extended XYZ file:
```
16
Lattice="7.946 0.000 0.000 0.000 7.946 0.000 0.000 0.000 7.946" Properties=species:S:1:pos:R:3 pbc="T T T"
Ba 0.000 0.000 0.000
Ba 0.000 3.973 3.973
Ba 3.973 0.000 3.973
Ba 3.973 3.973 0.000
Sr 1.986 1.986 1.986
Sr 1.986 1.986 5.959
Sr 1.986 5.959 1.986
Sr 1.986 5.959 5.959
Sr 5.959 1.986 1.986
Sr 5.959 1.986 5.959
Sr 5.959 5.959 1.986
Sr 5.959 5.959 5.959
Os 0.000 0.000 3.973
Os 0.000 3.973 0.000
Os 3.973 0.000 0.000
Os 3.973 3.973 3.973
```

Total magnetization (μB per formula unit): 0.00
Space-group type: Fm-3m
ΔE_f (eV per atom): 0.73
Distance to the lowest polymorph of the same formula (meV/atom): 215.6

---

BaSr2Os: optimized geometry, PBE.

extended XYZ file:
```
4
Lattice="5.065 0.000 0.000 0.000 5.065 0.000 0.000 0.000 5.070" Properties=species:S:1:pos:R:3 pbc="T T T"
Ba 0.000 0.000 0.000
Sr 0.000 2.532 2.535
Sr 2.532 0.000 2.535
Os 2.532 2.532 0.000
```

Total magnetization (μB per formula unit): 0.00
Space-group type: P4/mmm
ΔE_f (eV per atom): 0.77
Distance to the lowest polymorph of the same formula (meV/atom): 256.8

---

Ba2SrOs: optimized geometry, PBE.

extended XYZ file:
```
8
Lattice="11.646 0.000 0.000 0.000 4.205 0.000 -3.173 0.000 7.088" Properties=species:S:1:pos:R:3 pbc="T T T"
Ba 0.000 0.000 0.000
Ba -0.024 0.000 4.211
Ba 5.823 2.103 0.000
Ba 5.799 2.103 4.211
Sr 3.058 0.000 2.130
Sr 8.881 2.103 2.130
Os 0.701 2.103 2.116
Os 6.524 0.000 2.116
```

Total magnetization (μB per formula unit): 0.00
Space-group type: Cm
ΔE_f (eV per atom): 0.47
Distance to the lowest polymorph of the same formula (meV/atom): 0.0

---

BaSr2Os: optimized geometry, PBE.

extended XYZ file:
```
8
Lattice="3.699 0.000 0.000 0.000 5.456 0.000 0.000 0.000 15.825" Properties=species:S:1:pos:R:3 pbc="T T T"
Ba 0.000 0.000 0.000
Ba 1.850 2.728 7.912
Sr 0.000 0.000 10.927
Sr 0.000 2.728 13.341
Sr 1.850 0.000 5.428
Sr 1.850 2.728 3.014
Os 0.000 2.728 5.452
Os 1.850 0.000 13.364
```

Total magnetization (μB per formula unit): 0.00
Space-group type: Imm2
ΔE_f (eV per atom): 0.51
Distance to the lowest polymorph of the same formula (meV/atom): 2.2

---

Ba2SrOs: optimized geometry, PBE.

extended XYZ file:
```
12
Lattice="4.391 0.000 0.000 -2.196 3.803 0.000 0.000 0.000 33.416" Properties=species:S:1:pos:R:3 pbc="T T T"
Ba 0.000 0.000 7.365
Ba 0.000 0.000 26.050
Ba 0.000 2.535 14.912
Ba 0.000 2.535 29.643
Ba 2.196 1.268 3.773
Ba 2.196 1.268 18.504
Sr 0.000 0.000 0.000
Sr 0.000 2.535 22.277
Sr 2.196 1.268 11.139
Os 0.000 0.000 16.708
Os 0.000 2.535 5.569
Os 2.196 1.268 27.846
```

Total magnetization (μB per formula unit): 0.58
Space-group type: R-3m
ΔE_f (eV per atom): 0.66
Distance to the lowest polymorph of the same formula (meV/atom): 193.7

---

Ba2SrOs: optimized geometry, PBE.

extended XYZ file:
```
4
Lattice="3.831 0.000 0.000 0.000 3.831 0.000 0.000 0.000 10.871" Properties=species:S:1:pos:R:3 pbc="T T T"
Ba 0.000 0.000 1.821
Ba 0.000 0.000 9.050
Sr 1.915 1.915 5.436
Os 1.915 1.915 0.000
```

Total magnetization (μB per formula unit): 0.00
Space-group type: P4/mmm
ΔE_f (eV per atom): 0.57
Distance to the lowest polymorph of the same formula (meV/atom): 105.5

---

Ba2SrOs2: optimized geometry, PBE.

extended XYZ file:
```
10
Lattice="8.153 0.000 0.000 0.000 8.153 0.000 0.000 0.000 5.033" Properties=species:S:1:pos:R:3 pbc="T T T"
Ba 1.381 2.695 0.000
Ba 2.695 6.772 0.000
Ba 5.457 1.381 0.000
Ba 6.772 5.457 0.000
Sr 0.000 0.000 2.517
Sr 4.076 4.076 2.517
Os 0.825 4.901 2.517
Os 3.251 0.825 2.517
Os 4.901 7.327 2.517
Os 7.327 3.251 2.517
```

Total magnetization (μB per formula unit): 2.27
Space-group type: P4/mbm
ΔE_f (eV per atom): 0.68
Distance to the lowest polymorph of the same formula (meV/atom): 0.0

---

BaSr4Os: optimized geometry, PBE.

extended XYZ file:
```
6
Lattice="0.000 4.998 4.998 4.998 0.000 4.998 4.998 4.998 0.000" Properties=species:S:1:pos:R:3 pbc="T T T"
Ba 0.000 0.000 0.000
Sr 3.769 3.769 3.769
Sr 6.227 6.227 3.769
Sr 6.227 3.769 6.227
Sr 3.769 6.227 6.227
Os 7.496 7.496 7.496
```

Total magnetization (μB per formula unit): 0.53
Space-group type: F-43m
ΔE_f (eV per atom): 1.12